Arrangement A

The following is a DFT calculation (GGA-PBE) of SiAu2Br after structural relaxation.

Output
**Crystal system**: tetragonal
**Space group**: P4/mmm
**Size of the total moment**: 0.000 μB/atom
**Calculated volume**: 84.28 Å³/cell

a b c (Å): 5.4261 3.9412 3.9412
angles (deg): 90.00 90.00 90.00
Last column: nearest neighbours and their distance in Å.
Fractional positions:
1 Au 0.0000 0.5000 0.5000  4 Au 2.79
2 Br 0.5000 0.5000 0.0000  4 Si 2.79
3 Au 0.0000 0.0000 0.0000  4 Au 2.79
4 Si 0.5000 0.0000 0.5000  4 Br 2.79

***

Arrangement B

The following is a DFT calculation (GGA-PBE) of SiAu2Br after structural relaxation.

Output
**Crystal system**: monoclinic
**Space group**: Cm
**Size of the total moment**: 0.000 μB/atom
**Calculated volume**: 97.31 Å³/cell

a b c (Å): 4.6092 4.6092 6.5479
angles (deg): 78.49 78.49 45.77
Last column: nearest neighbours and their distance in Å.
Fractional positions:
1 Br 0.6250 0.6250 0.4778  1 Au 2.60
2 Au 0.9476 0.9476 0.0593  3 Si 2.50-2.55, 1 Au 2.79
3 Si 0.2282 0.2282 0.1203  5 Au 2.50-2.60
4 Au 0.6992 0.6992 0.8426  1 Br 2.60, 2 Si 2.60, 1 Au 2.79

***

Quick look at relative energies in meV per atom: arrangement A 406; arrangement B 0.

***

Arrangement A

The following is a DFT calculation (GGA-PBE) of Si2AuBr after structural relaxation.

Output
**Crystal system**: tetragonal
**Space group**: P4/mmm
**Size of the total moment**: 0.000 μB/atom
**Calculated volume**: 79.63 Å³/cell

a b c (Å): 3.3050 3.3050 7.2900
angles (deg): 90.00 90.00 90.00
Last column: nearest neighbours and their distance in Å.
Fractional positions:
1 Si 0.0000 0.0000 0.0413  4 Au 2.79, 1 Si 3.04
2 Au 0.5000 0.5000 0.2500  8 Si 2.79
3 Si 0.0000 0.0000 0.4587  4 Au 2.79, 1 Si 3.04
4 Br 0.5000 0.5000 0.7500  8 Si 3.16, 4 Br 3.31

***

Arrangement B

The following is a DFT calculation (GGA-PBE) of Si2AuBr after structural relaxation.

Output
**Crystal system**: orthorhombic
**Space group**: Pmmm
**Size of the total moment**: 0.000 μB/atom
**Calculated volume**: 82.79 Å³/cell

a b c (Å): 3.0821 6.0982 4.4047
angles (deg): 90.00 90.00 90.00
Last column: nearest neighbours and their distance in Å.
Fractional positions:
1 Br 0.0000 0.5000 0.5000  4 Si 2.69
2 Au 0.5000 0.0000 0.5000  4 Si 2.69
3 Si 0.5000 0.5000 0.0000  4 Br 2.69
4 Si 0.0000 0.0000 0.0000  4 Au 2.69

***

Arrangement C

The following is a DFT calculation (GGA-PBE) of Si2AuBr after structural relaxation.

Output
**Crystal system**: monoclinic
**Space group**: P2/m
**Size of the total moment**: 0.000 μB/atom
**Calculated volume**: 100.37 Å³/cell

a b c (Å): 4.1842 4.1820 5.7589
angles (deg): 95.12 90.00 90.00
Last column: nearest neighbours and their distance in Å.
Fractional positions:
1 Si 0.0000 0.9672 0.1286  2 Si 2.39-2.64, 2 Au 2.47
2 Au 0.5000 0.2500 0.2500  4 Si 2.47
3 Si 0.0000 0.5328 0.3714  2 Si 2.39-2.64, 2 Au 2.47
4 Br 0.5000 0.7500 0.7500  4 Si 3.10, 2 Au 3.40

***

Quick look at relative energies in meV per atom: arrangement A 207; arrangement B 335; arrangement C 0.

***

Arrangement A

The following is a DFT calculation (GGA-PBE) of Si2AuBr after structural relaxation.

Output
**Crystal system**: orthorhombic
**Space group**: Cmmm
**Size of the total moment**: 0.000 μB/atom
**Calculated volume**: 83.21 Å³/cell

a b c (Å): 3.3960 3.3960 8.1092
angles (deg): 90.00 90.00 117.15
Last column: nearest neighbours and their distance in Å.
Fractional positions:
1 Br 0.5000 0.5000 0.7500  4 Si 2.83
2 Si 0.0000 0.0000 0.4775  2 Au 2.56, 2 Br 2.83
3 Au 0.5000 0.5000 0.2500  4 Si 2.56
4 Si 0.0000 0.0000 0.0225  2 Au 2.56, 2 Br 2.83

***

Arrangement B

The following is a DFT calculation (GGA-PBE) of Si2AuBr after structural relaxation.

Output
**Crystal system**: tetragonal
**Space group**: I-42d
**Size of the total moment**: 0.000 μB/atom
**Calculated volume**: 213.84 Å³/cell

a b c (Å): 5.9311 5.9311 7.3852
angles (deg): 66.32 66.32 90.00
Last column: nearest neighbours and their distance in Å.
Fractional positions:
1 Au 0.7500 0.2500 0.5000  4 Si 2.37
2 Si 0.3750 0.3036 0.7500  2 Au 2.37
3 Br 0.5000 0.5000 0.0000  4 Si 2.85
4 Br 0.2500 0.7500 0.5000  4 Si 2.85
5 Si 0.6964 0.1250 0.2500  2 Au 2.37
6 Si 0.0536 0.6250 0.2500  2 Au 2.37
7 Au 0.0000 0.0000 0.0000  4 Si 2.37
8 Si 0.8750 0.9464 0.7500  2 Au 2.37

***

Quick look at relative energies in meV per atom: arrangement A 115; arrangement B 0.